Entry from Alexandria: Hf2Al2Pt at its PBEsol-relaxed geometry (SCAN).

Symmetry: P4/mbm (127)
Formation energy from the elements: -0.875 eV per atom

Geometry as CIF:
```
data_Hf2Al2Pt
_symmetry_space_group_name_H-M 'P 1'
_symmetry_Int_Tables_number 1
_cell_length_a 4.251
_cell_length_b 6.403
_cell_length_c 6.403
_cell_angle_alpha 90.00
_cell_angle_beta 90.00
_cell_angle_gamma 90.00
loop_
_symmetry_equiv_pos_as_xyz
'x,y,z'
loop_
_atom_site_label
_atom_site_fract_x
_atom_site_fract_y
_atom_site_fract_z
Hf1 0.500 0.169 0.669
Pt1 0.000 0.500 0.500
Al1 0.000 0.139 0.361
Al2 0.000 0.361 0.861
Hf2 0.500 0.331 0.169
Hf3 0.500 0.669 0.831
Hf4 0.500 0.831 0.331
Pt2 0.000 0.000 0.000
Al3 0.000 0.639 0.139
Al4 0.000 0.861 0.639
```